# 1
This record from Alexandria describes a relaxed structure of Tb2OsC. The functional is GGA-PBE.

Calculated values
As for the space group: R-3m (166).

Cell: 3.392 3.392 8.440 Å, 78.41 78.41 60.00°
Each line ends with the local moment (μB).
Fractional coordinates of all 4 atoms:
C1 0.500 0.500 0.500  0.03
Tb1 0.891 0.891 0.328  -0.03
Os1 0.000 0.000 0.000  0.42
Tb2 0.109 0.109 0.672  -0.03



# 2
This record from Alexandria describes a relaxed structure of Tb2OsC2. The functional is GGA-PBE.

Calculated values
As for the space group: P2_1/c (14).

Cell: 6.508 6.286 8.068 Å, 90.00 98.88 90.00°
Fractional coordinates of all 20 atoms:
C1 0.632 0.265 0.375
Tb1 0.866 0.604 0.334
C2 0.719 0.916 0.151
C3 0.368 0.735 0.625
C4 0.781 0.416 0.849
Tb2 0.634 0.104 0.666
C5 0.281 0.084 0.849
Tb3 0.134 0.396 0.666
Os1 0.869 0.092 0.354
Os2 0.369 0.408 0.354
C6 0.132 0.235 0.375
Tb4 0.366 0.896 0.334
C7 0.868 0.765 0.625
C8 0.219 0.584 0.151
Tb5 0.452 0.748 0.955
Os3 0.131 0.908 0.646
Os4 0.631 0.592 0.646
Tb6 0.548 0.252 0.045
Tb7 0.048 0.248 0.045
Tb8 0.952 0.752 0.955



# 3
This record from Alexandria describes a relaxed structure of Tb3OsC3. The functional is GGA-PBE.

Calculated values
As for the space group: Cmcm (63).

Cell: 5.141 6.814 6.815 Å, 100.56 90.00 90.00°
Fractional coordinates of all 14 atoms:
C1 0.750 0.832 0.580
Tb1 0.250 0.406 0.166
C2 0.250 0.580 0.833
Tb2 0.750 0.166 0.406
C3 0.250 0.121 0.879
Os1 0.750 0.694 0.306
Tb3 0.250 0.834 0.594
C4 0.250 0.168 0.420
Tb4 0.750 0.108 0.892
C5 0.750 0.420 0.167
Tb5 0.250 0.892 0.108
C6 0.750 0.879 0.121
Os2 0.250 0.306 0.694
Tb6 0.750 0.594 0.834



# 4
This record from Alexandria describes a relaxed structure of Tb2ThOsC4. The functional is GGA-PBE.

Calculated values
As for the space group: Cmcm (63).

Cell: 3.527 6.316 12.208 Å, 90.00 90.00 106.21°
Fractional coordinates of all 16 atoms:
Tb1 0.370 0.740 0.960
Tb2 0.370 0.740 0.540
C1 0.000 0.000 0.500
C2 0.419 0.839 0.750
Os1 0.830 0.660 0.750
Th1 0.088 0.176 0.750
Th2 0.912 0.824 0.250
Os2 0.170 0.340 0.250
C3 0.269 0.537 0.369
Tb3 0.630 0.260 0.040
C4 0.000 0.000 0.000
C5 0.269 0.537 0.131
C6 0.731 0.463 0.631
Tb4 0.630 0.260 0.460
C7 0.581 0.161 0.250
C8 0.731 0.463 0.869



# 5
This record from Alexandria describes a relaxed structure of Tb2TmOsC2. The functional is GGA-PBE.

Calculated values
As for the space group: Pnnm (58).

Cell: 3.700 5.562 11.004 Å, 90.00 90.00 90.00°
Fractional coordinates of all 12 atoms:
C1 0.000 0.723 0.885
C2 0.500 0.223 0.615
Tm1 0.500 0.500 0.000
Tb1 0.500 0.053 0.208
C3 0.000 0.277 0.115
Os1 0.000 0.000 0.000
Os2 0.500 0.500 0.500
Tb2 0.500 0.947 0.792
Tb3 0.000 0.553 0.292
Tb4 0.000 0.447 0.708
Tm2 0.000 0.000 0.500
C4 0.500 0.777 0.385



# 6
This record from Alexandria describes a relaxed structure of Tb2UOsC4. The functional is GGA-PBE.

Calculated values
As for the space group: Cmcm (63).

Cell: 3.458 6.113 12.079 Å, 90.00 90.00 106.43°
Each line ends with the local moment (μB).
Fractional coordinates of all 16 atoms:
Tb1 0.633 0.265 0.458  -0.02
Tb2 0.633 0.265 0.042  -0.02
Os1 0.155 0.311 0.250  0.10
Tb3 0.367 0.735 0.542  -0.02
C1 0.560 0.121 0.250  -0.03
C2 0.274 0.549 0.139  -0.01
C3 0.726 0.451 0.861  -0.01
U1 0.102 0.204 0.750  1.47
U2 0.898 0.796 0.250  1.47
C4 0.726 0.451 0.639  -0.01
C5 0.440 0.879 0.750  -0.03
C6 0.000 0.000 0.500  -0.04
Os2 0.845 0.689 0.750  0.10
C7 0.274 0.549 0.361  -0.01
C8 0.000 0.000 0.000  -0.04
Tb4 0.367 0.735 0.958  -0.02



Calculated electronic total energy (eV/atom), listed in the same order as above: -6.807 -7.972 -7.885 -8.159 -7.433 -8.475
Calculated total magnetic moment (μB/f.u.), listed in the same order as above: 0.41 0.00 0.00 0.00 0.00 1.56